First-principles (PBE-GGA) data for an optimized crystal structure of SiSe, as listed in Alexandria.

Cell lengths 7.4635, 7.4635, 7.4635 Å; angles 90.00, 90.00, 90.00 degrees
Space group Pm-3n (No. 223)
Asymmetric unit:
1 Si 0.0000 0.2500 0.5000 (multiplicity 6)
2 Se 0.0000 0.5000 0.2500 (multiplicity 6)

Properties
The total energy comes out at -4.09 eV/atom.


First-principles (PBE-GGA) data for an optimized crystal structure of Dy5Er2Sc5, as listed in Alexandria.

Cell lengths 11.5197, 5.3856, 11.5324 Å; angles 90.00, 108.96, 90.00 degrees
Space group C2/m (No. 12)
Asymmetric unit:
1 Dy 0.0000 0.0000 0.0000 (multiplicity 2)
2 Dy 0.0396 0.0000 0.7091 (multiplicity 4)
3 Dy 0.2477 0.5000 0.7558 (multiplicity 4)
4 Er 0.2117 0.0000 0.5443 (multiplicity 4)
5 Sc 0.0000 0.5000 0.5000 (multiplicity 2)
6 Sc 0.0411 0.5000 0.2012 (multiplicity 4)
7 Sc 0.2075 0.5000 0.0398 (multiplicity 4)

Properties
The total energy comes out at -5.23 eV/atom. As for the energy above the lowest structure with this stoichiometry: 32 meV per atom. The energy relative to the elements is 82 meV/atom.


First-principles (PBE-GGA) data for an optimized crystal structure of Pm2In8Pt, as listed in Alexandria.

Cell lengths 4.7171, 4.7171, 12.2573 Å; angles 90.00, 90.00, 90.00 degrees
Space group P4/mmm (No. 123)
Asymmetric unit:
1 Pm 0.0000 0.0000 0.1913 (multiplicity 2)
2 In 0.0000 0.5000 0.0000 (multiplicity 2)
3 In 0.0000 0.5000 0.3755 (multiplicity 4)
4 In 0.5000 0.5000 0.1912 (multiplicity 2)
5 Pt 0.0000 0.0000 0.5000 (multiplicity 1)

Properties
The total energy comes out at -3.87 eV/atom. The energy relative to the elements is -467 meV/atom.


First-principles (PBE-GGA) data for an optimized crystal structure of TbY4Cd, as listed in Alexandria.

Cell lengths 3.5926, 3.5926, 14.1621 Å; angles 90.00, 90.00, 90.00 degrees
Space group P4/mmm (No. 123)
Asymmetric unit:
1 Tb 0.0000 0.0000 0.0000 (multiplicity 1)
2 Y 0.0000 0.0000 0.3552 (multiplicity 2)
3 Y 0.5000 0.5000 0.1760 (multiplicity 2)
4 Cd 0.5000 0.5000 0.5000 (multiplicity 1)

Properties
The total energy comes out at -5.33 eV/atom. As for the energy above the lowest structure with this stoichiometry: 0 meV per atom. The energy relative to the elements is -99 meV/atom.


First-principles (PBE-GGA) data for an optimized crystal structure of Zr3Zn3Ru, as listed in Alexandria.

Cell lengths 12.9772, 12.9772, 12.9772 Å; angles 90.00, 90.00, 90.00 degrees
Space group Fd-3m (No. 227, origin choice 2)
Asymmetric unit:
1 Zr 0.0937 0.3750 0.3750 (multiplicity 48)
2 Zn 0.0000 0.0000 0.5000 (multiplicity 16)
3 Zn 0.0399 0.0399 0.7101 (multiplicity 32)
4 Ru 0.0000 0.0000 0.0000 (multiplicity 16)

Properties
The total energy comes out at -5.69 eV/atom. The energy relative to the elements is -159 meV/atom.


First-principles (PBE-GGA) data for an optimized crystal structure of GdErCd2, as listed in Alexandria.

Cell lengths 3.7272, 3.7272, 7.5514 Å; angles 90.00, 90.00, 90.00 degrees
Space group P4/mmm (No. 123)
Asymmetric unit:
1 Gd 0.0000 0.0000 0.0000 (multiplicity 1)
2 Er 0.0000 0.0000 0.5000 (multiplicity 1)
3 Cd 0.5000 0.5000 0.2595 (multiplicity 2)

Properties
The total energy comes out at -5.45 eV/atom. As for the energy above the lowest structure with this stoichiometry: 0 meV per atom. The energy relative to the elements is -332 meV/atom.